This record from the Alexandria database describes an optimized crystal structure of ErCdInHg. The functional is GGA-PBE.

Structure (extended XYZ):
```
4
Lattice="-2.9661 -0.3849 -4.1815 -0.6547 -4.5630 -2.2760 -4.5454 -2.3853 0.2833" Properties=species:S:1:pos:R:3 pbc="T T T"
Hg -4.0831 -3.6666 -3.0871
Er -2.0415 -1.8333 -1.5435
Cd -6.1246 -5.4999 -4.6306
In 0.0000 0.0000 0.0000
```

Properties
- Space-group type: F-43m

=====

This record from the Alexandria database describes an optimized crystal structure of ErCd2InHg5. The functional is GGA-PBE.

Structure (extended XYZ):
```
18
Lattice="-3.8407 2.3247 1.7117 -1.7108 -3.5357 -5.7801 -3.2585 -11.0881 7.7472" Properties=species:S:1:pos:R:3 pbc="T T T"
Cd -1.9884 -5.0831 2.4418
Hg -4.4201 -5.7378 4.6180
Hg -3.7772 -7.8341 2.1642
Hg -6.1425 -8.3877 4.3521
Hg -0.9211 -1.3829 -0.1887
Hg -3.3333 -2.9659 -3.4513
In -5.0068 -4.6160 1.7780
Hg -5.5982 -10.4672 1.6542
Hg -3.2768 -2.0532 2.1792
Er -5.6051 -9.5883 7.1885
In -4.9101 -11.4494 4.5323
Cd -3.0739 -8.8052 5.0611
Hg -2.7197 -4.0889 -0.5493
Cd -7.9448 -11.0379 3.9074
Er -4.3861 -6.7300 -0.7015
Hg -4.0482 -1.1147 -0.8263
Cd -5.7924 -3.6854 -1.2485
Hg -6.8277 -7.3052 1.3445
```

Properties
- Space-group type: Cmc2_1

=====

This record from the Alexandria database describes an optimized crystal structure of LaErCdHg. The functional is GGA-PBE.

Structure (extended XYZ):
```
4
Lattice="-2.0993 -4.5617 -2.0027 3.2246 -3.6737 -2.3093 0.9291 -4.7168 2.4729" Properties=species:S:1:pos:R:3 pbc="T T T"
Cd 1.5408 -9.7141 -1.3793
Er 1.0272 -6.4761 -0.9195
La 0.0000 0.0000 0.0000
Hg 0.5136 -3.2380 -0.4598
```

Properties
- Space-group type: F-43m

=====

In meV per atom, the E_form values for the records above are, in order, -283 -115 -380.
In Å³ per cell, the V values for the records above are, in order, 96.08 438.70 111.73.
In μB per formula unit, the size of the total moment values for the records above are, in order, 0.00 0.00 0.54.